1.
MoSBrCl2: optimized geometry, PBEsol.

Results
raw formation energy = 115 kJ/mol of atoms
raw total energy = -3.21 eV/atom

Geometry as CIF:
```
data_MoSBrCl2
_space_group_name_H-M_alt 'P 4/m m m'
_space_group_IT_number 123
_space_group_name_Hall '-P 4 2'
_cell_length_a 5.0868
_cell_length_b 5.0868
_cell_length_c 4.7985
_cell_angle_alpha 90.00
_cell_angle_beta 90.00
_cell_angle_gamma 90.00
loop_
_atom_site_label
_atom_site_fract_x
_atom_site_fract_y
_atom_site_fract_z
Mo1 0.0000 0.0000 0.0000
S1 0.5000 0.5000 0.0000
Br1 0.5000 0.5000 0.5000
Cl1 0.0000 0.5000 0.5000
```

2.
ZnAsP2S: optimized geometry, PBEsol.

Results
raw formation energy = 89 kJ/mol of atoms
raw total energy = -3.61 eV/atom

Geometry as CIF:
```
data_ZnAsP2S
_space_group_name_H-M_alt 'P 4/m m m'
_space_group_IT_number 123
_space_group_name_Hall '-P 4 2'
_cell_length_a 4.7013
_cell_length_b 4.7013
_cell_length_c 4.6197
_cell_angle_alpha 90.00
_cell_angle_beta 90.00
_cell_angle_gamma 90.00
loop_
_atom_site_label
_atom_site_fract_x
_atom_site_fract_y
_atom_site_fract_z
Zn1 0.0000 0.0000 0.0000
As1 0.5000 0.5000 0.5000
P1 0.0000 0.5000 0.5000
S1 0.5000 0.5000 0.0000
```

3.
ZrMnBr: optimized geometry, PBEsol.

Results
raw formation energy = 34 kJ/mol of atoms
raw total energy = -6.56 eV/atom

Geometry as CIF:
```
data_ZrMnBr
_space_group_name_H-M_alt 'F -4 3 m'
_space_group_IT_number 216
_space_group_name_Hall 'F -4 2 3'
_cell_length_a 5.8452
_cell_length_b 5.8452
_cell_length_c 5.8452
_cell_angle_alpha 90.00
_cell_angle_beta 90.00
_cell_angle_gamma 90.00
loop_
_atom_site_label
_atom_site_fract_x
_atom_site_fract_y
_atom_site_fract_z
Zr1 0.0000 0.0000 0.0000
Mn1 0.2500 0.2500 0.7500
Br1 0.0000 0.0000 0.5000
```

4.
NiTeAs2C: optimized geometry, PBEsol.

Results
raw formation energy = 201 kJ/mol of atoms
raw total energy = -3.83 eV/atom

Geometry as CIF:
```
data_NiTeAs2C
_space_group_name_H-M_alt 'P 4/m m m'
_space_group_IT_number 123
_space_group_name_Hall '-P 4 2'
_cell_length_a 5.2122
_cell_length_b 5.2122
_cell_length_c 3.9740
_cell_angle_alpha 90.00
_cell_angle_beta 90.00
_cell_angle_gamma 90.00
loop_
_atom_site_label
_atom_site_fract_x
_atom_site_fract_y
_atom_site_fract_z
Ni1 0.0000 0.0000 0.0000
Te1 0.5000 0.5000 0.5000
As1 0.0000 0.5000 0.5000
C1 0.5000 0.5000 0.0000
```

5.
Y2TcHg: optimized geometry, PBEsol.

Results
DFT formation energy = 0.304 eV/atom
raw total energy = -6.06 eV/atom

Geometry as CIF:
```
data_Y2TcHg
_space_group_name_H-M_alt 'R 3 m'
_space_group_IT_number 160
_space_group_name_Hall 'R 3 -2"'
_cell_length_a 3.3741
_cell_length_b 3.3741
_cell_length_c 28.5436
_cell_angle_alpha 90.00
_cell_angle_beta 90.00
_cell_angle_gamma 120.00
loop_
_atom_site_label
_atom_site_fract_x
_atom_site_fract_y
_atom_site_fract_z
Y1 0.0000 0.0000 0.0000
Y2 0.0000 0.0000 0.2242
Tc1 0.0000 0.0000 0.7345
Hg1 0.0000 0.0000 0.4722
```

6.
LaNb2CdF: optimized geometry, PBEsol.

Results
raw formation energy = -13 kJ/mol of atoms
raw total energy = -6.15 eV/atom

Geometry as CIF:
```
data_LaNb2CdF
_space_group_name_H-M_alt 'P 4/m m m'
_space_group_IT_number 123
_space_group_name_Hall '-P 4 2'
_cell_length_a 4.3765
_cell_length_b 4.3765
_cell_length_c 5.1966
_cell_angle_alpha 90.00
_cell_angle_beta 90.00
_cell_angle_gamma 90.00
loop_
_atom_site_label
_atom_site_fract_x
_atom_site_fract_y
_atom_site_fract_z
La1 0.0000 0.0000 0.0000
Nb1 0.0000 0.5000 0.5000
Cd1 0.5000 0.5000 0.0000
F1 0.5000 0.5000 0.5000
```

7.
CdSe2N2: optimized geometry, PBEsol.

Results
raw formation energy = 118 kJ/mol of atoms
raw total energy = -3.97 eV/atom

Geometry as CIF:
```
data_CdSe2N2
_space_group_name_H-M_alt 'P 4/m m m'
_space_group_IT_number 123
_space_group_name_Hall '-P 4 2'
_cell_length_a 3.7637
_cell_length_b 3.7637
_cell_length_c 5.8284
_cell_angle_alpha 90.00
_cell_angle_beta 90.00
_cell_angle_gamma 90.00
loop_
_atom_site_label
_atom_site_fract_x
_atom_site_fract_y
_atom_site_fract_z
Cd1 0.0000 0.0000 0.0000
Se1 0.5000 0.5000 0.0000
Se2 0.5000 0.5000 0.5000
N1 0.0000 0.5000 0.5000
```

8.
SrCrTe4: optimized geometry, PBEsol.

Results
raw formation energy = 20 kJ/mol of atoms
raw total energy = -4.15 eV/atom

Geometry as CIF:
```
data_SrCrTe4
_space_group_name_H-M_alt 'F -4 3 m'
_space_group_IT_number 216
_space_group_name_Hall 'F -4 2 3'
_cell_length_a 9.0228
_cell_length_b 9.0228
_cell_length_c 9.0228
_cell_angle_alpha 90.00
_cell_angle_beta 90.00
_cell_angle_gamma 90.00
loop_
_atom_site_label
_atom_site_fract_x
_atom_site_fract_y
_atom_site_fract_z
Sr1 0.0000 0.0000 0.0000
Cr1 0.2500 0.2500 0.7500
Te1 0.1243 0.1243 0.3757
```

9.
ZrTcCl2: optimized geometry, PBEsol.

Results
raw formation energy = 6 kJ/mol of atoms
raw total energy = -6.03 eV/atom

Geometry as CIF:
```
data_ZrTcCl2
_space_group_name_H-M_alt 'P 4/m m m'
_space_group_IT_number 123
_space_group_name_Hall '-P 4 2'
_cell_length_a 4.1900
_cell_length_b 4.1900
_cell_length_c 3.4791
_cell_angle_alpha 90.00
_cell_angle_beta 90.00
_cell_angle_gamma 90.00
loop_
_atom_site_label
_atom_site_fract_x
_atom_site_fract_y
_atom_site_fract_z
Zr1 0.0000 0.0000 0.0000
Tc1 0.5000 0.5000 0.0000
Cl1 0.0000 0.5000 0.5000
```

10.
SrLi3Zn: optimized geometry, PBEsol.

Results
DFT formation energy = 0.038 eV/atom
raw total energy = -1.83 eV/atom

Geometry as CIF:
```
data_SrLi3Zn
_space_group_name_H-M_alt 'P m -3 m'
_space_group_IT_number 221
_space_group_name_Hall '-P 4 2 3'
_cell_length_a 5.0062
_cell_length_b 5.0062
_cell_length_c 5.0062
_cell_angle_alpha 90.00
_cell_angle_beta 90.00
_cell_angle_gamma 90.00
loop_
_atom_site_label
_atom_site_fract_x
_atom_site_fract_y
_atom_site_fract_z
Sr1 0.0000 0.0000 0.0000
Li1 0.0000 0.5000 0.5000
Zn1 0.5000 0.5000 0.5000
```

11.
Ca3Cd: optimized geometry, PBEsol.

Results
DFT formation energy = -0.115 eV/atom
raw total energy = -2.01 eV/atom

Geometry as CIF:
```
data_Ca3Cd
_space_group_name_H-M_alt 'P m -3 m'
_space_group_IT_number 221
_space_group_name_Hall '-P 4 2 3'
_cell_length_a 5.0558
_cell_length_b 5.0558
_cell_length_c 5.0558
_cell_angle_alpha 90.00
_cell_angle_beta 90.00
_cell_angle_gamma 90.00
loop_
_atom_site_label
_atom_site_fract_x
_atom_site_fract_y
_atom_site_fract_z
Ca1 0.0000 0.0000 0.5000
Cd1 0.5000 0.5000 0.5000
```

12.
MnZn3Pd: optimized geometry, PBEsol.

Results
DFT formation energy = 0.871 eV/atom
raw total energy = -3.22 eV/atom

Geometry as CIF:
```
data_MnZn3Pd
_space_group_name_H-M_alt 'P m -3 m'
_space_group_IT_number 221
_space_group_name_Hall '-P 4 2 3'
_cell_length_a 4.4913
_cell_length_b 4.4913
_cell_length_c 4.4913
_cell_angle_alpha 90.00
_cell_angle_beta 90.00
_cell_angle_gamma 90.00
loop_
_atom_site_label
_atom_site_fract_x
_atom_site_fract_y
_atom_site_fract_z
Mn1 0.0000 0.0000 0.0000
Zn1 0.0000 0.0000 0.5000
Pd1 0.5000 0.5000 0.5000
```

13.
Ta2InP: optimized geometry, PBEsol.

Results
DFT formation energy = -0.133 eV/atom
raw total energy = -8.60 eV/atom
polymorph energy (0 for the lowest one) = 0.0 meV per atom

Geometry as CIF:
```
data_Ta2InP
_space_group_name_H-M_alt 'I m m m'
_space_group_IT_number 71
_space_group_name_Hall '-I 2 2'
_cell_length_a 3.4678
_cell_length_b 4.9310
_cell_length_c 8.1310
_cell_angle_alpha 90.00
_cell_angle_beta 90.00
_cell_angle_gamma 90.00
loop_
_atom_site_label
_atom_site_fract_x
_atom_site_fract_y
_atom_site_fract_z
Ta1 0.0000 0.0000 0.2039
In1 0.0000 0.5000 0.0000
P1 0.0000 0.5000 0.5000
```